No. 1
Entry from Alexandria: an optimized crystal structure of Er2Bi2H3 (GGA-PBE).

The structure in POSCAR format:
```
Er2Bi2H3
1.0
11.903 0.000 0.000
0.000 3.566 0.000
-3.975 0.000 6.023
Er Bi H
4 4 6
direct
0.146 0.000 0.249
0.354 0.500 0.751
0.646 0.500 0.249
0.854 0.000 0.751
0.132 0.000 0.764
0.368 0.500 0.236
0.632 0.500 0.764
0.868 0.000 0.236
0.000 0.500 0.000
0.174 0.500 0.429
0.326 0.000 0.571
0.500 0.000 0.000
0.674 0.000 0.429
0.826 0.500 0.571
```

## Properties
- M_tot (μB/cell) = 0.00
- VASP energy (eV for the cell shown) = -60.90
- density of states at the Fermi level (states/eV/cell) = 2.02
- SG = No. 12

No. 2
Entry from Alexandria: an optimized crystal structure of ErBiH2 (GGA-PBE).

The structure in POSCAR format:
```
ErBiH2
1.0
6.208 0.000 0.000
0.000 3.582 0.000
-2.062 0.000 6.074
Er Bi H
2 2 4
direct
0.000 0.000 0.000
0.500 0.500 0.000
0.185 0.000 0.550
0.685 0.500 0.550
0.174 0.500 0.023
0.369 0.000 0.107
0.674 0.000 0.023
0.869 0.500 0.107
```

## Properties
- M_tot (μB/cell) = 0.00
- VASP energy (eV for the cell shown) = -34.16
- density of states at the Fermi level (states/eV/cell) = 1.16
- energy above the lowest structure with this stoichiometry (meV/atom) = 0
- SG = No. 8

No. 3
Entry from Alexandria: an optimized crystal structure of ErBiH (GGA-PBE).

The structure in POSCAR format:
```
ErBiH
1.0
3.766 0.000 0.000
-1.883 3.261 0.000
0.000 0.000 4.827
Er Bi H
1 1 1
direct
0.000 0.000 0.000
0.667 0.333 0.500
0.333 0.667 0.000
```

## Properties
- M_tot (μB/cell) = 0.00
- VASP energy (eV for the cell shown) = -13.61
- density of states at the Fermi level (states/eV/cell) = 1.60
- energy above the lowest structure with this stoichiometry (meV/atom) = 0
- SG = No. 187

No. 4
Entry from Alexandria: an optimized crystal structure of Er2Bi2H (GGA-PBE).

The structure in POSCAR format:
```
Er2Bi2H
1.0
7.188 -3.128 0.000
7.188 3.128 0.000
-3.043 0.000 5.879
Er Bi H
4 4 2
direct
0.000 0.000 0.248
0.000 0.000 0.752
0.281 0.281 0.781
0.719 0.719 0.219
0.213 0.213 0.214
0.500 0.500 0.246
0.500 0.500 0.754
0.787 0.787 0.786
0.108 0.108 0.608
0.892 0.892 0.392
```

## Properties
- M_tot (μB/cell) = 0.00
- VASP energy (eV for the cell shown) = -45.69
- density of states at the Fermi level (states/eV/cell) = 2.44
- SG = No. 12

No. 5
Entry from Alexandria: an optimized crystal structure of Er4Bi2H (GGA-PBE).

The structure in POSCAR format:
```
Er4Bi2H
1.0
6.266 0.000 0.000
0.000 6.425 0.000
-2.786 0.000 8.684
Er Bi H
8 4 2
direct
0.044 0.001 0.309
0.044 0.499 0.309
0.347 0.750 0.050
0.429 0.750 0.666
0.571 0.250 0.334
0.653 0.250 0.950
0.956 0.501 0.691
0.956 0.999 0.691
0.192 0.250 0.022
0.370 0.250 0.609
0.630 0.750 0.391
0.808 0.750 0.978
0.195 0.750 0.798
0.805 0.250 0.202
```

## Properties
- M_tot (μB/cell) = 0.00
- VASP energy (eV for the cell shown) = -66.62
- density of states at the Fermi level (states/eV/cell) = 12.45
- energy above the lowest structure with this stoichiometry (meV/atom) = 0
- SG = No. 11

No. 6
Entry from Alexandria: an optimized crystal structure of Er3Bi3H2 (GGA-PBE).

The structure in POSCAR format:
```
Er3Bi3H2
1.0
1.865 -6.022 0.000
1.865 6.022 0.000
0.000 0.000 16.380
Er Bi H
6 6 4
direct
0.146 0.854 0.750
0.152 0.848 0.052
0.152 0.848 0.448
0.848 0.152 0.552
0.848 0.152 0.948
0.854 0.146 0.250
0.135 0.865 0.250
0.438 0.562 0.104
0.438 0.562 0.396
0.562 0.438 0.604
0.562 0.438 0.896
0.865 0.135 0.750
0.264 0.736 0.550
0.264 0.736 0.950
0.736 0.264 0.050
0.736 0.264 0.450
```

## Properties
- M_tot (μB/cell) = 0.00
- VASP energy (eV for the cell shown) = -73.57
- density of states at the Fermi level (states/eV/cell) = 7.83
- SG = No. 63

No. 7
Entry from Alexandria: an optimized crystal structure of ErBiH (GGA-PBE).

The structure in POSCAR format:
```
ErBiH
1.0
3.514 0.000 0.000
-0.013 5.894 0.000
-1.756 -1.505 5.973
Er Bi H
2 2 2
direct
0.138 0.318 0.277
0.862 0.682 0.723
0.396 0.193 0.796
0.604 0.807 0.204
0.272 0.622 0.543
0.728 0.378 0.457
```

## Properties
- M_tot (μB/cell) = 0.00
- VASP energy (eV for the cell shown) = -27.08
- density of states at the Fermi level (states/eV/cell) = 2.79
- energy above the lowest structure with this stoichiometry (meV/atom) = 23
- SG = No. 2

No. 8
Entry from Alexandria: an optimized crystal structure of ErBiH2 (GGA-PBE).

The structure in POSCAR format:
```
ErBiH2
1.0
3.584 0.000 0.000
-1.792 3.104 0.000
0.000 0.000 17.454
Er Bi H
3 3 6
direct
0.000 0.000 0.000
0.333 0.667 0.667
0.667 0.333 0.333
0.000 0.000 0.500
0.333 0.667 0.167
0.667 0.333 0.833
0.000 0.000 0.307
0.000 0.000 0.693
0.333 0.667 0.360
0.333 0.667 0.973
0.667 0.333 0.027
0.667 0.333 0.640
```

## Properties
- M_tot (μB/cell) = 0.00
- VASP energy (eV for the cell shown) = -51.17
- density of states at the Fermi level (states/eV/cell) = 2.74
- energy above the lowest structure with this stoichiometry (meV/atom) = 6
- SG = No. 166

No. 9
Entry from Alexandria: an optimized crystal structure of Er4Bi5H2 (GGA-PBE).

The structure in POSCAR format:
```
Er4Bi5H2
1.0
8.562 -1.973 0.000
8.562 1.973 0.000
-0.841 0.000 8.845
Er Bi H
4 5 2
direct
0.034 0.034 0.229
0.292 0.292 0.798
0.708 0.708 0.202
0.966 0.966 0.771
0.133 0.133 0.941
0.170 0.170 0.501
0.500 0.500 0.500
0.830 0.830 0.499
0.867 0.867 0.059
0.417 0.417 0.796
0.583 0.583 0.204
```

## Properties
- M_tot (μB/cell) = 0.00
- VASP energy (eV for the cell shown) = -49.72
- density of states at the Fermi level (states/eV/cell) = 2.79
- SG = No. 12

No. 10
Entry from Alexandria: an optimized crystal structure of Er3BiH2 (GGA-PBE).

The structure in POSCAR format:
```
Er3BiH2
1.0
10.934 -1.971 0.000
10.934 1.971 0.000
-1.505 0.000 5.952
Er Bi H
6 2 4
direct
0.039 0.039 0.276
0.230 0.230 0.205
0.400 0.400 0.143
0.600 0.600 0.857
0.770 0.770 0.795
0.961 0.961 0.724
0.349 0.349 0.586
0.651 0.651 0.414
0.059 0.059 0.934
0.292 0.292 0.982
0.708 0.708 0.018
0.941 0.941 0.066
```

## Properties
- M_tot (μB/cell) = 0.12
- VASP energy (eV for the cell shown) = -54.30
- density of states at the Fermi level (states/eV/cell) = 8.41
- SG = No. 12

No. 11
Entry from Alexandria: an optimized crystal structure of Er4BiH (GGA-PBE).

The structure in POSCAR format:
```
Er4BiH
1.0
4.056 -7.739 0.000
4.056 7.739 0.000
-3.251 0.000 4.873
Er Bi H
8 2 2
direct
0.074 0.639 0.860
0.141 0.269 0.606
0.269 0.141 0.106
0.361 0.926 0.640
0.639 0.074 0.360
0.731 0.859 0.894
0.859 0.731 0.394
0.926 0.361 0.140
0.401 0.599 0.250
0.599 0.401 0.750
0.021 0.979 0.250
0.979 0.021 0.750
```

## Properties
- M_tot (μB/cell) = 0.00
- VASP energy (eV for the cell shown) = -54.57
- density of states at the Fermi level (states/eV/cell) = 12.51
- SG = No. 15

No. 12
Entry from Alexandria: an optimized crystal structure of Er2BiHN (GGA-PBE).

The structure in POSCAR format:
```
Er2BiHN
1.0
3.743 0.000 0.000
0.000 3.743 0.000
0.000 0.000 13.697
Er Bi H N
4 2 2 2
direct
0.000 0.000 0.164
0.000 0.000 0.836
0.500 0.500 0.336
0.500 0.500 0.664
0.000 0.000 0.500
0.500 0.500 0.000
0.000 0.500 0.250
0.500 0.000 0.750
0.000 0.500 0.750
0.500 0.000 0.250
```

## Properties
- M_tot (μB/cell) = 0.00
- VASP energy (eV for the cell shown) = -60.10
- density of states at the Fermi level (states/eV/cell) = 2.54
- SG = No. 119

No. 13
Entry from Alexandria: an optimized crystal structure of ErHfBi (GGA-PBE).

The structure in POSCAR format:
```
ErHfBi
1.0
4.098 0.000 0.000
0.000 4.098 0.000
0.000 0.000 9.806
Er Hf Bi
2 2 2
direct
0.250 0.250 0.241
0.750 0.750 0.759
0.250 0.250 0.569
0.750 0.750 0.431
0.250 0.250 0.888
0.750 0.750 0.112
```

## Properties
- M_tot (μB/cell) = 1.23
- VASP energy (eV for the cell shown) = -37.61
- density of states at the Fermi level (states/eV/cell) = 9.79
- formation energy (eV/atom) = -0.136
- SG = No. 129

No. 14
Entry from Alexandria: an optimized crystal structure of ErHg2Bi (GGA-PBE).

The structure in POSCAR format:
```
ErHg2Bi
1.0
3.803 0.000 0.000
0.000 3.803 0.000
0.000 0.000 7.293
Er Hg Bi
1 2 1
direct
0.000 0.000 0.000
0.500 0.500 0.239
0.500 0.500 0.761
0.000 0.000 0.500
```

## Properties
- M_tot (μB/cell) = 0.00
- VASP energy (eV for the cell shown) = -9.95
- density of states at the Fermi level (states/eV/cell) = 2.36
- formation energy (eV/atom) = -0.226
- SG = No. 123

No. 15
Entry from Alexandria: an optimized crystal structure of ErHgBi (GGA-PBE).

The structure in POSCAR format:
```
ErHgBi
1.0
4.413 0.000 0.000
0.000 4.426 0.000
0.000 0.000 9.528
Er Hg Bi
2 2 2
direct
0.250 0.250 0.151
0.750 0.750 0.849
0.250 0.250 0.474
0.750 0.750 0.526
0.250 0.250 0.818
0.750 0.750 0.182
```

## Properties
- M_tot (μB/cell) = 0.00
- VASP energy (eV for the cell shown) = -20.34
- density of states at the Fermi level (states/eV/cell) = 1.26
- formation energy (eV/atom) = -0.475
- energy above the lowest structure with this stoichiometry (meV/atom) = 0
- SG = No. 59

No. 16
Entry from Alexandria: an optimized crystal structure of Er4HgBi2 (GGA-PBE).

The structure in POSCAR format:
```
Er4HgBi2
1.0
15.629 0.000 0.000
0.000 4.194 0.000
-3.496 0.000 6.673
Er Hg Bi
8 2 4
direct
0.107 0.000 0.247
0.117 0.500 0.828
0.383 0.000 0.172
0.393 0.500 0.753
0.607 0.500 0.247
0.617 0.000 0.828
0.883 0.500 0.172
0.893 0.000 0.753
0.000 0.000 0.500
0.500 0.500 0.500
0.239 0.000 0.724
0.261 0.500 0.276
0.739 0.500 0.724
0.761 0.000 0.276
```

## Properties
- M_tot (μB/cell) = 0.00
- VASP energy (eV for the cell shown) = -58.23
- density of states at the Fermi level (states/eV/cell) = 9.67
- formation energy (eV/atom) = -0.400
- SG = No. 12

No. 17
Entry from Alexandria: an optimized crystal structure of ErHgBi (GGA-PBE).

The structure in POSCAR format:
```
ErHgBi
1.0
4.250 0.000 0.000
0.000 4.250 0.000
0.000 0.000 9.411
Er Hg Bi
2 2 2
direct
0.000 0.000 0.000
0.500 0.500 0.500
0.000 0.000 0.323
0.500 0.500 0.823
0.000 0.000 0.652
0.500 0.500 0.152
```

## Properties
- M_tot (μB/cell) = 0.00
- VASP energy (eV for the cell shown) = -19.55
- density of states at the Fermi level (states/eV/cell) = 3.12
- formation energy (eV/atom) = -0.343
- energy above the lowest structure with this stoichiometry (meV/atom) = 132
- SG = No. 107

No. 18
Entry from Alexandria: an optimized crystal structure of ErHgBi (GGA-PBE).

The structure in POSCAR format:
```
ErHgBi
1.0
4.775 0.000 0.000
-2.387 4.135 0.000
0.000 0.000 4.341
Er Hg Bi
1 1 1
direct
0.000 0.000 0.000
0.667 0.333 0.263
0.333 0.667 0.596
```

## Properties
- M_tot (μB/cell) = 0.00
- VASP energy (eV for the cell shown) = -9.92
- density of states at the Fermi level (states/eV/cell) = 0.51
- formation energy (eV/atom) = -0.392
- energy above the lowest structure with this stoichiometry (meV/atom) = 83
- SG = No. 156

No. 19
Entry from Alexandria: an optimized crystal structure of Er5Hg2Bi2 (GGA-PBE).

The structure in POSCAR format:
```
Er5Hg2Bi2
1.0
7.858 -4.042 0.000
7.858 4.042 0.000
0.000 0.000 8.022
Er Hg Bi
10 4 4
direct
0.000 0.000 0.000
0.036 0.703 0.664
0.203 0.536 0.164
0.297 0.964 0.664
0.464 0.797 0.164
0.500 0.500 0.500
0.536 0.203 0.836
0.703 0.036 0.336
0.797 0.464 0.836
0.964 0.297 0.336
0.135 0.865 0.368
0.365 0.635 0.868
0.635 0.365 0.132
0.865 0.135 0.632
0.207 0.207 0.000
0.293 0.293 0.500
0.707 0.707 0.500
0.793 0.793 0.000
```

## Properties
- M_tot (μB/cell) = 0.00
- VASP energy (eV for the cell shown) = -72.89
- density of states at the Fermi level (states/eV/cell) = 19.30
- formation energy (eV/atom) = -0.585
- SG = No. 64

No. 20
Entry from Alexandria: an optimized crystal structure of ErHg2Bi (GGA-PBE).

The structure in POSCAR format:
```
ErHg2Bi
1.0
4.525 0.000 0.000
0.000 4.525 0.000
0.000 0.000 5.055
Er Hg Bi
1 2 1
direct
0.000 0.000 0.000
0.000 0.500 0.500
0.500 0.000 0.500
0.500 0.500 0.000
```

## Properties
- M_tot (μB/cell) = 0.00
- VASP energy (eV for the cell shown) = -10.51
- density of states at the Fermi level (states/eV/cell) = 0.82
- formation energy (eV/atom) = -0.366
- SG = No. 123